[1]
The following is a DFT calculation (PBEsol) of a relaxed CePrO4 crystal.

Structure (extended XYZ):
```
6
Lattice="3.870 0.000 0.000 0.000 3.870 0.000 0.000 0.000 5.594" Properties=species:S:1:pos:R:3 pbc="T T T"
Ce 0.000 0.000 0.000
Pr 1.935 1.935 2.797
O 0.000 1.935 1.325
O 0.000 1.935 4.269
O 1.935 0.000 1.325
O 1.935 0.000 4.269
```

## Properties
As for the space group: P4/mmm, No. 123. Its uncorrected formation energy is -3.015 eV/atom.

[2]
The following is a DFT calculation (PBEsol) of a relaxed Sc2AlCl crystal.

Structure (extended XYZ):
```
4
Lattice="3.147 0.000 0.000 0.000 3.147 0.000 0.000 0.000 9.012" Properties=species:S:1:pos:R:3 pbc="T T T"
Sc 0.000 0.000 0.000
Sc 1.573 1.573 2.421
Al 0.000 0.000 4.215
Cl 1.573 1.573 7.525
```

## Properties
As for the space group: P4mm, No. 99. Its uncorrected formation energy is -0.568 eV/atom. The energy above the most stable polymorph in this dataset is 1.04 eV per formula unit.

[3]
The following is a DFT calculation (PBEsol) of a relaxed Tb2Zn17 crystal.

Structure (extended XYZ):
```
38
Lattice="8.790 0.000 0.000 -4.395 7.612 0.000 0.000 0.000 8.614" Properties=species:S:1:pos:R:3 pbc="T T T"
Tb 0.000 0.000 2.153
Tb 0.000 0.000 6.460
Tb 0.000 5.075 2.153
Tb 4.395 2.537 6.460
Zn -2.198 3.806 0.000
Zn -2.198 3.806 4.307
Zn -1.276 2.796 6.460
Zn -2.612 5.109 6.460
Zn 0.000 2.465 0.181
Zn 0.000 2.465 4.126
Zn -2.261 6.380 0.181
Zn -2.261 6.380 4.126
Zn 2.134 1.232 4.487
Zn 2.134 1.232 8.433
Zn 1.276 2.796 6.460
Zn -1.335 7.320 6.460
Zn 0.000 5.075 5.181
Zn 0.000 5.075 7.739
Zn 3.060 0.293 2.153
Zn 1.783 2.503 2.153
Zn 4.395 0.000 0.000
Zn 4.395 0.000 4.307
Zn 2.198 3.806 0.000
Zn 2.198 3.806 4.307
Zn 2.612 5.109 6.460
Zn 1.335 7.320 6.460
Zn 4.395 2.537 0.875
Zn 4.395 2.537 3.432
Zn 5.730 0.293 2.153
Zn 3.119 4.816 2.153
Zn 2.261 6.380 0.181
Zn 2.261 6.380 4.126
Zn 6.656 1.232 4.487
Zn 6.656 1.232 8.433
Zn 4.395 5.148 4.487
Zn 4.395 5.148 8.433
Zn 7.007 2.503 2.153
Zn 5.671 4.816 2.153
```

## Properties
As for the space group: P6_3/mmc, No. 194.

[4]
The following is a DFT calculation (PBEsol) of a relaxed Cr2GaNiSn crystal.

Structure (extended XYZ):
```
5
Lattice="4.559 0.000 0.000 0.000 4.559 0.000 0.000 0.000 4.952" Properties=species:S:1:pos:R:3 pbc="T T T"
Cr 0.000 2.280 0.000
Cr 2.280 0.000 0.000
Ga 0.000 0.000 0.000
Ni 2.280 2.280 2.476
Sn 0.000 0.000 2.476
```

## Properties
As for the space group: P4/mmm, No. 123.

[5]
The following is a DFT calculation (PBEsol) of a relaxed SnN2O2 crystal.

Structure (extended XYZ):
```
5
Lattice="3.552 0.000 0.000 0.000 3.552 0.000 0.000 0.000 3.682" Properties=species:S:1:pos:R:3 pbc="T T T"
Sn 0.000 0.000 0.000
N 0.000 1.776 1.841
N 1.776 0.000 1.841
O 1.776 1.776 0.000
O 1.776 1.776 1.841
```

## Properties
As for the space group: P4/mmm, No. 123. Its uncorrected formation energy is 1.485 eV/atom. The energy above the most stable polymorph in this dataset is 2.31 eV per formula unit.

[6]
The following is a DFT calculation (PBEsol) of a relaxed BI2N2 crystal.

Structure (extended XYZ):
```
5
Lattice="6.764 0.000 0.000 0.000 6.764 0.000 0.000 0.000 2.740" Properties=species:S:1:pos:R:3 pbc="T T T"
B 0.000 0.000 0.000
I 0.000 3.382 0.000
I 3.382 0.000 0.000
N 0.000 0.000 1.370
N 3.382 3.382 1.370
```

## Properties
As for the space group: P4/mmm, No. 123. Its uncorrected formation energy is 1.026 eV/atom.

[7]
The following is a DFT calculation (PBEsol) of a relaxed FeCo crystal.

Structure (extended XYZ):
```
6
Lattice="3.941 0.000 0.000 -1.970 3.413 0.000 0.000 0.000 4.860" Properties=species:S:1:pos:R:3 pbc="T T T"
Fe 0.000 0.000 0.000
Fe 0.000 0.000 2.422
Fe 1.970 1.138 3.232
Co 0.000 2.275 1.636
Co 0.000 2.275 4.060
Co 1.970 1.138 0.780
```

## Properties
As for the space group: P3m1, No. 156.

[8]
The following is a DFT calculation (PBEsol) of a relaxed Mg2TlHg2 crystal.

Structure (extended XYZ):
```
10
Lattice="8.323 0.000 0.000 0.000 8.323 0.000 0.000 0.000 3.256" Properties=species:S:1:pos:R:3 pbc="T T T"
Mg 1.408 2.753 0.000
Mg 2.753 6.915 0.000
Mg 5.570 1.408 0.000
Mg 6.915 5.570 0.000
Tl 0.000 0.000 1.628
Tl 4.162 4.162 1.628
Hg 1.073 5.234 1.628
Hg 3.089 1.073 1.628
Hg 5.234 7.251 1.628
Hg 7.251 3.089 1.628
```

## Properties
As for the space group: P4/mbm, No. 127.

Taking the records one at a time from the top gives electronic total energy values of -8.4780; -5.3950; -2.2064; -5.4213; -4.8771; -4.4944; -8.3190; -1.6249 eV per atom.